# 1
DFT (PBE) results for crystalline Ba3Cd2 at its relaxed geometry.

Properties
The calculation puts the uncorrected energy at -1.7496 eV per atom. Its total moment is 0.00 μB/f.u. The formation energy comes out at -0.23 eV per atom. As for the crystal system: tetragonal. Its energy above the most stable polymorph in this dataset is 0.029 eV/atom.

Cell: 4.780 9.650 9.650 Å, 90.00 90.00 90.00°
Positions (direct):
Ba 0.500 0.661 0.839
Ba 0.000 0.500 0.500
Cd 0.000 0.873 0.627
Cd 0.000 0.373 0.873
Ba 0.500 0.839 0.339
Cd 0.000 0.127 0.373
Ba 0.500 0.339 0.161
Ba 0.000 0.000 0.000
Ba 0.500 0.161 0.661
Cd 0.000 0.627 0.127


# 2
DFT (PBE) results for crystalline Ba3Cd11 at its relaxed geometry.

Properties
The calculation puts the uncorrected energy at -1.4120 eV per atom. Its total moment is 0.00 μB/f.u. The formation energy comes out at -0.28 eV per atom. As for the crystal system: orthorhombic.

Cell: 5.144 9.527 9.527 Å, 65.38 74.34 74.34°
Positions (direct):
Ba 0.703 0.297 0.297
Cd 0.662 0.981 0.694
Cd 0.338 0.019 0.306
Ba 0.297 0.703 0.703
Cd 0.662 0.694 0.981
Cd 0.500 0.689 0.311
Cd 0.338 0.306 0.019
Ba 0.000 0.000 0.000
Cd 0.864 0.424 0.848
Cd 0.864 0.848 0.424
Cd 0.000 0.500 0.500
Cd 0.136 0.576 0.152
Cd 0.136 0.152 0.576
Cd 0.500 0.311 0.689


# 3
DFT (PBE) results for crystalline Ba3Cd5 at its relaxed geometry.

Properties
The calculation puts the uncorrected energy at -1.5094 eV per atom. Its total moment is 0.00 μB/f.u. The formation energy comes out at -0.22 eV per atom. As for the crystal system: orthorhombic. Its energy above the most stable polymorph in this dataset is 0.000 eV/atom.

Cell: 7.207 7.207 5.684 Å, 90.00 90.00 105.94°
Positions (direct):
Cd 0.268 0.268 0.500
Cd 0.000 0.500 0.000
Ba 0.225 0.775 0.500
Cd 0.000 0.000 0.000
Cd 0.732 0.732 0.500
Cd 0.500 0.000 0.000
Ba 0.775 0.225 0.500
Ba 0.500 0.500 0.000


# 4
DFT (PBE) results for crystalline BaCd2 at its relaxed geometry.

Properties
The calculation puts the uncorrected energy at -1.5595 eV per atom. Its total moment is 0.00 μB/f.u. The formation energy comes out at -0.31 eV per atom. As for the crystal system: tetragonal.

Cell: 9.720 9.720 9.720 Å, 151.24 151.24 41.13°
Positions (direct):
Cd 0.832 0.332 0.500
Cd 0.668 0.168 0.500
Cd 0.582 0.582 0.000
Cd 0.418 0.418 0.000
Ba 0.250 0.750 0.500
Ba 0.000 0.000 0.000